Material: NaH2F2
Method: DFT, PBE-GGA
State: optimized geometry

The space group is P-3m1 (No. 164) and the conventional cell measures 3.6853, 3.6853 and 5.7515 Å, with angles of 90.00, 90.00 and 120.00 degrees. The asymmetric unit holds Na at (0.0000, 0.0000, 0.0000), H at (0.3333, 0.6667, 0.3621) and F at (0.3333, 0.6667, 0.1854).

As for the calculated density: 1.55 g/cm³. The electronic total energy is -3.61 eV per atom. The calculation puts the total magnetization at 0.00 μB/cell.

Material: Na4HF2
Method: DFT, PBE-GGA
State: optimized geometry

The space group is I4/mmm (No. 139) and the conventional cell measures 4.335, 4.335 and 12.545 Å, with angles of 90.00, 90.00 and 90.00 degrees. The asymmetric unit holds Na at (0.000, 0.000, 0.207), Na at (0.000, 0.500, 0.000), H at (0.000, 0.000, 0.000) and F at (0.000, 0.000, 0.387).

As for the calculated density: 1.84 g/cm³. The electronic total energy is -3.12 eV per atom. The calculation puts the total magnetization at 0.00 μB/cell.

Material: NaHF3
Method: DFT, PBE-GGA
State: optimized geometry

The space group is C2/c (No. 15) and the conventional cell measures 8.804, 10.073 and 6.389 Å, with angles of 90.00, 119.53 and 90.00 degrees. The asymmetric unit holds Na at (0.000, 0.086, 0.250), Na at (0.000, 0.401, 0.750), H at (0.212, 0.172, 0.693), F at (0.103, 0.226, 0.593), F at (0.147, 0.411, 0.191) and F at (0.188, 0.050, 0.099).

As for the calculated density: 2.18 g/cm³. The electronic total energy is -3.77 eV per atom. The energy above the most stable polymorph in this dataset comes out at 0.000 eV per atom. The calculation puts the total magnetization at 8.05 μB/cell.

Material: NaHF2
Method: DFT, PBE-GGA
State: optimized geometry

The space group is I-42d (No. 122) and the conventional cell measures 4.740, 4.740 and 6.383 Å, with angles of 90.00, 90.00 and 90.00 degrees. The asymmetric unit holds Na at (0.000, 0.000, 0.000), H at (0.000, 0.000, 0.500) and F at (0.127, 0.750, 0.625).

As for the calculated density: 2.87 g/cm³. The electronic total energy is -3.84 eV per atom. The energy above the most stable polymorph in this dataset comes out at 0.539 eV per atom. The calculation puts the total magnetization at 0.00 μB/cell.

Q: Which of these has the lowest electronic total energy?
A: NaHF2

Q: Number 3 is which compound?
A: NaHF3

Q: Among the records above, which one has the lowest electronic total energy?
A: NaHF2

Q: Which of these has the highest calculated density?
A: NaHF2